Below is an optimized crystal structure of ErMgGe, with properties calculated at the PBE-GGA level.

```
data_ErMgGe
_chemical_formula_sum 'Er4 Mg4 Ge4'
_cell_length_a 10.331
_cell_length_b 5.655
_cell_length_c 5.672
_cell_angle_alpha 90.00
_cell_angle_beta 90.00
_cell_angle_gamma 90.00
_space_group_name_H-M_alt 'A m a 2'
_space_group_IT_number 40
loop_
_space_group_symop_operation_xyz
'x,y,z'
'-x,-y,z'
'-x+1/2,y,z'
'x+1/2,-y,z'
'x,y+1/2,z+1/2'
'-x,-y+1/2,z+1/2'
'-x+1/2,y+1/2,z+1/2'
'x+1/2,-y+1/2,z+1/2'
loop_
_atom_site_label
_atom_site_type_symbol
_atom_site_fract_x
_atom_site_fract_y
_atom_site_fract_z
Er1 Er 0.250 0.001 0.000
Mg1 Mg 0.000 0.000 0.556
Ge1 Ge 0.250 0.001 0.498
```

The value obtained for the calculated formation energy is -0.264 eV/atom. The total magnetic moment comes out at 0.00 μB per formula unit.